*w*
Compound: ZrCdAg3
Source: Alexandria
Functional: PBE-GGA
Structure: optimized geometry

The structure in CIF format:
```
data_ZrCdAg3
_symmetry_space_group_name_H-M 'C 1 2/m 1'
_symmetry_Int_Tables_number 12
_cell_length_a 15.963
_cell_length_b 3.004
_cell_length_c 8.385
_cell_angle_alpha 90.00
_cell_angle_beta 105.60
_cell_angle_gamma 90.00
loop_
_symmetry_equiv_pos_as_xyz
'x,y,z'
'-x,-y,-z'
'-x,y,-z'
'x,-y,z'
'x+1/2,y+1/2,z'
'-x+1/2,-y+1/2,-z'
'-x+1/2,y+1/2,-z'
'x+1/2,-y+1/2,z'
loop_
_atom_site_label
_atom_site_fract_x
_atom_site_fract_y
_atom_site_fract_z
Zr1 0.105 0.000 0.052
Cd1 0.001 0.500 0.736
Ag1 0.104 0.000 0.552
Ag2 0.201 0.500 0.356
Ag3 0.203 0.500 0.846
```

Values from the calculation:
* DOS(E_F): 2.84 states/eV/f.u.
* magnetization: 0.00 μB per formula unit


*x*
Compound: ZrCdAg3
Source: Alexandria
Functional: PBE-GGA
Structure: optimized geometry

The structure in CIF format:
```
data_ZrCdAg3
_symmetry_space_group_name_H-M 'P 1 21/m 1'
_symmetry_Int_Tables_number 11
_cell_length_a 6.670
_cell_length_b 4.324
_cell_length_c 6.767
_cell_angle_alpha 90.00
_cell_angle_beta 90.81
_cell_angle_gamma 90.00
loop_
_symmetry_equiv_pos_as_xyz
'x,y,z'
'-x,-y,-z'
'-x,y+1/2,-z'
'x,-y+1/2,z'
loop_
_atom_site_label
_atom_site_fract_x
_atom_site_fract_y
_atom_site_fract_z
Zr1 0.046 0.250 0.343
Cd1 0.466 0.250 0.159
Ag1 0.154 0.750 0.056
Ag2 0.244 0.250 0.755
Ag3 0.352 0.750 0.451
```

Values from the calculation:
* DOS(E_F): 2.76 states/eV/f.u.
* magnetization: 0.74 μB per formula unit


*y*
Compound: ZrCdAg3
Source: Alexandria
Functional: PBE-GGA
Structure: optimized geometry

The structure in CIF format:
```
data_ZrCdAg3
_symmetry_space_group_name_H-M 'P m -3 m'
_symmetry_Int_Tables_number 221
_symmetry_space_group_name_Hall '-P 4 2 3'
_cell_length_a 5.339
_cell_length_b 5.339
_cell_length_c 5.339
_cell_angle_alpha 90.00
_cell_angle_beta 90.00
_cell_angle_gamma 90.00
loop_
_atom_site_label
_atom_site_fract_x
_atom_site_fract_y
_atom_site_fract_z
Zr1 0.000 0.000 0.000
Cd1 0.500 0.500 0.500
Ag1 0.000 0.000 0.500
```

Values from the calculation:
* DOS(E_F): 3.47 states/eV/f.u.
* magnetization: 0.44 μB per formula unit


Relative energies, unit kJ/mol of atoms: *w* 0.0; *x* 1.2; *y* 105.6


*w*
Compound: Zr2Cd6Ag
Source: Alexandria
Functional: PBE-GGA
Structure: optimized geometry

The structure in CIF format:
```
data_Zr2Cd6Ag
_symmetry_space_group_name_H-M 'C m m m'
_symmetry_Int_Tables_number 65
_symmetry_space_group_name_Hall '-C 2 2'
_cell_length_a 7.155
_cell_length_b 12.194
_cell_length_c 4.505
_cell_angle_alpha 90.00
_cell_angle_beta 90.00
_cell_angle_gamma 90.00
loop_
_atom_site_label
_atom_site_fract_x
_atom_site_fract_y
_atom_site_fract_z
Zr1 0.000 0.217 0.000
Cd1 0.195 0.357 0.500
Cd2 0.230 0.500 0.000
Ag1 0.000 0.000 0.500
```

Values from the calculation:
* DOS(E_F): 6.60 states/eV/f.u.
* magnetization: 0.00 μB per formula unit


*x*
Compound: Zr2Cd6Ag
Source: Alexandria
Functional: PBE-GGA
Structure: optimized geometry

The structure in CIF format:
```
data_Zr2Cd6Ag
_symmetry_space_group_name_H-M 'I m m m'
_symmetry_Int_Tables_number 71
_symmetry_space_group_name_Hall '-I 2 2'
_cell_length_a 4.813
_cell_length_b 5.988
_cell_length_c 14.532
_cell_angle_alpha 90.00
_cell_angle_beta 90.00
_cell_angle_gamma 90.00
loop_
_atom_site_label
_atom_site_fract_x
_atom_site_fract_y
_atom_site_fract_z
Zr1 0.000 0.000 0.100
Cd1 0.000 0.246 0.301
Cd2 0.000 0.256 0.500
Ag1 0.000 0.500 0.000
```

Values from the calculation:
* DOS(E_F): 7.06 states/eV/f.u.
* magnetization: 0.00 μB per formula unit


Relative energies, unit kJ/mol of atoms: *w* 0.0; *x* 7.5


*w*
Compound: Zr2Cd2Ag
Source: Alexandria
Functional: PBE-GGA
Structure: optimized geometry

The structure in CIF format:
```
data_Zr2Cd2Ag
_symmetry_space_group_name_H-M 'P 4/m b m'
_symmetry_Int_Tables_number 127
_symmetry_space_group_name_Hall '-P 4 2ab'
_cell_length_a 7.145
_cell_length_b 7.145
_cell_length_c 4.294
_cell_angle_alpha 90.00
_cell_angle_beta 90.00
_cell_angle_gamma 90.00
loop_
_atom_site_label
_atom_site_fract_x
_atom_site_fract_y
_atom_site_fract_z
Zr1 0.164 0.336 0.000
Cd1 0.138 0.638 0.500
Ag1 0.000 0.000 0.500
```

Values from the calculation:
* DOS(E_F): 3.56 states/eV/f.u.
* magnetization: 0.00 μB per formula unit


*x*
Compound: Zr2Cd2Ag
Source: Alexandria
Functional: PBE-GGA
Structure: optimized geometry

The structure in CIF format:
```
data_Zr2Cd2Ag
_symmetry_space_group_name_H-M 'R -3 m'
_symmetry_Int_Tables_number 166
_symmetry_space_group_name_Hall '-R 3 2"'
_cell_length_a 4.8584
_cell_length_b 4.8584
_cell_length_c 15.5762
_cell_angle_alpha 90.00
_cell_angle_beta 90.00
_cell_angle_gamma 120.00
loop_
_atom_site_label
_atom_site_fract_x
_atom_site_fract_y
_atom_site_fract_z
Zr1 0.0000 0.0000 0.1003
Cd1 0.0000 0.0000 0.3088
Ag1 0.0000 0.0000 0.5000
```

Values from the calculation:
* DOS(E_F): 5.20 states/eV/f.u.
* magnetization: 0.66 μB per formula unit


*y*
Compound: Zr2Cd2Ag
Source: Alexandria
Functional: PBE-GGA
Structure: optimized geometry

The structure in CIF format:
```
data_Zr2Cd2Ag
_symmetry_space_group_name_H-M 'P 4/m b m'
_symmetry_Int_Tables_number 127
_symmetry_space_group_name_Hall '-P 4 2ab'
_cell_length_a 8.847
_cell_length_b 8.847
_cell_length_c 2.948
_cell_angle_alpha 90.00
_cell_angle_beta 90.00
_cell_angle_gamma 90.00
loop_
_atom_site_label
_atom_site_fract_x
_atom_site_fract_y
_atom_site_fract_z
Zr1 0.123 0.377 0.000
Cd1 0.173 0.673 0.500
Ag1 0.000 0.000 0.000
```

Values from the calculation:
* DOS(E_F): 3.74 states/eV/f.u.
* magnetization: 0.00 μB per formula unit


Relative energies, unit kJ/mol of atoms: *w* 5.2; *x* 0.0; *y* 22.1